1) PmDySc4, relaxed, DFT PBE; SG = Cmcm, No. 63
1.0
-3.6263 -6.3743 4.2096
4.8278 0.2262 -2.2785
2.9918 6.2665 6.9632
Pm Dy Sc
2 2 8
Direct
0.3766 0.6266 0.2531 Pm
0.6234 0.3734 0.7469 Pm
0.1263 0.8763 0.7527 Dy
0.8737 0.1237 0.2473 Dy
0.9594 0.2094 0.9169 Sc
0.4575 0.7075 0.9169 Sc
0.2882 0.5381 0.5835 Sc
0.7118 0.4619 0.4165 Sc
0.2048 0.9546 0.4165 Sc
0.5425 0.2925 0.0831 Sc
0.7952 0.0454 0.5835 Sc
0.0406 0.7906 0.0831 Sc


2) PmDySc4, relaxed, DFT PBE; SG = P2_1/m, No. 11
1.0
-1.2305 -3.4539 -4.9610
-4.2066 -2.1077 7.7764
-4.9837 4.0651 -1.5941
Pm Dy Sc
2 2 8
Direct
0.7034 0.8455 0.7500 Pm
0.2966 0.1545 0.2500 Pm
0.7810 0.5060 0.7500 Dy
0.2190 0.4940 0.2500 Dy
0.2443 0.4794 0.7500 Sc
0.7557 0.5206 0.2500 Sc
0.2606 0.1409 0.7500 Sc
0.7394 0.8591 0.2500 Sc
0.2165 0.8141 0.0036 Sc
0.7835 0.1859 0.5036 Sc
0.2165 0.8141 0.4964 Sc
0.7835 0.1859 0.9964 Sc


The energy of each structure relative to the most stable one, in kJ/mol of atoms, is as follows: 1) 0.0; 2) 6.7.